DFT (GGA-PBE) results for a relaxed PrDyY2Er2 crystal.

Values from the calculation:
VASP energy = -0.365 Ry per atom
Energy of formation = 0.27 eV/atom
Spin magnetization = 0.00 μB per formula unit

Lattice parameters (Å, degrees): 6.506 17.908 3.417 90.00 90.00 90.00
Space group Pnnm (No. 58)
Asymmetric unit:
Pr (0.000, 0.000, 0.000) (multiplicity 2)
Dy (0.000, 0.500, 0.000) (multiplicity 2)
Y (0.217, 0.189, 0.000) (multiplicity 4)
Er (0.214, 0.353, 0.500) (multiplicity 4)

***

DFT (GGA-PBE) results for a relaxed PrDy3YEr crystal.

Values from the calculation:
VASP energy = -0.363 Ry per atom
Energy of formation = 0.00 eV/atom
Spin magnetization = 0.00 μB per formula unit

Lattice parameters (Å, degrees): 9.566 3.605 11.976 90.00 110.29 90.00
Space group P2_1/m (No. 11)
Asymmetric unit:
Pr (0.128, 0.250, 0.129) (multiplicity 2)
Dy (0.069, 0.250, 0.405) (multiplicity 2)
Dy (0.320, 0.750, 0.652) (multiplicity 2)
Dy (0.434, 0.750, 0.098) (multiplicity 2)
Y (0.183, 0.250, 0.845) (multiplicity 2)
Er (0.377, 0.750, 0.378) (multiplicity 2)

***

DFT (GGA-PBE) results for a relaxed PrDy2Y6Er3 crystal.

Values from the calculation:
VASP energy = -0.405 Ry per atom
Energy of formation = 0.02 eV/atom
Spin magnetization = 0.00 μB per formula unit

Lattice parameters (Å, degrees): 6.172 10.679 11.806 90.00 99.99 90.00
Space group C2/m (No. 12)
Asymmetric unit:
Pr (0.000, 0.000, 0.000) (multiplicity 2)
Dy (0.000, 0.333, 0.000) (multiplicity 4)
Y (0.248, 0.333, 0.748) (multiplicity 8)
Y (0.250, 0.000, 0.748) (multiplicity 4)
Er (0.000, 0.167, 0.500) (multiplicity 4)
Er (0.000, 0.500, 0.500) (multiplicity 2)

***

DFT (GGA-PBE) results for a relaxed Pr3Dy2YEr6 crystal.

Values from the calculation:
VASP energy = -0.350 Ry per atom
Energy of formation = 0.02 eV/atom
Spin magnetization = 0.00 μB per formula unit

Lattice parameters (Å, degrees): 6.198 10.730 11.776 90.00 100.07 90.00
Space group C2/m (No. 12)
Asymmetric unit:
Pr (0.000, 0.000, 0.000) (multiplicity 2)
Pr (0.000, 0.333, 0.000) (multiplicity 4)
Dy (0.000, 0.167, 0.500) (multiplicity 4)
Y (0.000, 0.500, 0.500) (multiplicity 2)
Er (0.248, 0.000, 0.746) (multiplicity 4)
Er (0.249, 0.333, 0.746) (multiplicity 8)

***

DFT (GGA-PBE) results for a relaxed Pr2DyY5Er crystal.

Values from the calculation:
VASP energy = -0.398 Ry per atom
Energy of formation = 0.26 eV/atom
Spin magnetization = 0.00 μB per formula unit

Lattice parameters (Å, degrees): 8.650 8.650 15.873 90.00 90.00 90.00
Space group I4/mcm (No. 140)
Asymmetric unit:
Pr (0.118, 0.382, 0.000) (multiplicity 8)
Dy (0.000, 0.000, 0.250) (multiplicity 4)
Y (0.000, 0.000, 0.000) (multiplicity 4)
Y (0.213, 0.287, 0.359) (multiplicity 16)
Er (0.000, 0.500, 0.250) (multiplicity 4)

***

DFT (GGA-PBE) results for a relaxed Pr5Dy2YEr crystal.

Values from the calculation:
VASP energy = -0.339 Ry per atom
Energy of formation = 0.29 eV/atom
Spin magnetization = 0.00 μB per formula unit

Lattice parameters (Å, degrees): 8.000 8.000 19.866 90.00 90.00 90.00
Space group I4/mcm (No. 140)
Asymmetric unit:
Pr (0.000, 0.000, 0.000) (multiplicity 4)
Pr (0.207, 0.293, 0.133) (multiplicity 16)
Dy (0.129, 0.371, 0.500) (multiplicity 8)
Y (0.000, 0.000, 0.250) (multiplicity 4)
Er (0.000, 0.500, 0.250) (multiplicity 4)

***

DFT (GGA-PBE) results for a relaxed Pr2DyY4Er2 crystal.

Values from the calculation:
VASP energy = -0.395 Ry per atom
Energy of formation = 0.08 eV/atom
Spin magnetization = 0.00 μB per formula unit

Lattice parameters (Å, degrees): 6.005 6.625 8.646 80.56 70.77 65.74
Space group P-1 (No. 2)
Asymmetric unit:
Pr (0.228, 0.319, 0.343) (multiplicity 2)
Dy (0.500, 0.000, 0.000) (multiplicity 1)
Y (0.112, 0.128, 0.762) (multiplicity 2)
Y (0.247, 0.574, 0.886) (multiplicity 2)
Er (0.325, 0.765, 0.445) (multiplicity 2)

***

DFT (GGA-PBE) results for a relaxed Pr3Dy6Y2Er crystal.

Values from the calculation:
VASP energy = -0.363 Ry per atom
Energy of formation = 0.02 eV/atom
Spin magnetization = 0.00 μB per formula unit

Lattice parameters (Å, degrees): 6.223 10.775 11.870 90.00 100.04 90.00
Space group C2/m (No. 12)
Asymmetric unit:
Pr (0.000, 0.000, 0.000) (multiplicity 2)
Pr (0.000, 0.333, 0.000) (multiplicity 4)
Dy (0.248, 0.334, 0.746) (multiplicity 8)
Dy (0.250, 0.000, 0.746) (multiplicity 4)
Y (0.000, 0.167, 0.500) (multiplicity 4)
Er (0.000, 0.500, 0.500) (multiplicity 2)